{"formula": "PaZnGaPd", "functional": "PBE", "state": "optimized geometry", "lattice_angstrom": [[4.735, 0.000, 0.000], [2.368, 4.101, 0.000], [2.368, 1.367, 3.866]], "species": ["Ga", "Pa", "Zn", "Pd"], "fractional_positions": [[0.500, 0.500, 0.500], [0.000, 0.000, 0.000], [0.750, 0.750, 0.750], [0.250, 0.250, 0.250]], "spacegroup": "F-43m, No. 216", "e_form_ev_per_atom": -0.36}

{"formula": "BaSn2ClO", "functional": "PBE", "state": "optimized geometry", "lattice_angstrom": [[-1.227, 5.114, 0.813], [-4.123, -0.387, -3.794], [-3.399, -1.426, 3.838]], "species": ["Sn", "Cl", "Sn", "Ba", "O"], "fractional_positions": [[0.500, 0.000, 0.000], [0.000, 0.000, 0.000], [0.000, 0.000, 0.500], [0.500, 0.500, 0.500], [0.000, 0.500, 0.000]], "e_form_raw_ev_per_atom": 0.024, "spacegroup": "P4/mmm, No. 123"}

{"formula": "SmYZnCu", "functional": "PBE", "state": "optimized geometry", "lattice_angstrom": [[-0.884, 2.680, 2.165], [-3.281, 0.028, -1.375], [-2.120, -4.708, 4.962]], "species": ["Zn", "Cu", "Y", "Sm"], "fractional_positions": [[0.000, 0.000, 0.849], [0.000, 0.000, 0.367], [0.500, 0.500, 0.600], [0.500, 0.500, 0.112]], "de_polymorph_ev_per_fu": 0.00, "spacegroup": "P4mm, No. 99", "e_form_ev_per_atom": -0.27}

{"formula": "BiAs3C", "functional": "PBE", "state": "optimized geometry", "lattice_angstrom": [[-0.383, -4.112, 3.699], [3.258, -3.165, -3.180], [4.470, 1.954, 2.635]], "species": ["As", "As", "C", "As", "Bi"], "fractional_positions": [[0.000, 0.500, 0.000], [0.500, 0.000, 0.000], [0.500, 0.500, 0.500], [0.000, 0.000, 0.500], [0.000, 0.000, 0.000]], "de_polymorph_ev_per_fu": 7.57, "spacegroup": "Pm-3m, No. 221", "e_form_ev_per_atom": 2.47}

{"formula": "PmY3Hg7", "functional": "PBE", "state": "optimized geometry", "lattice_angstrom": [[3.621, 0.000, 0.000], [-1.810, 15.730, 0.000], [0.000, 0.000, 12.726]], "species": ["Hg", "Hg", "Hg", "Hg", "Hg", "Hg", "Pm", "Pm", "Hg", "Hg", "Y", "Hg", "Hg", "Hg", "Y", "Y", "Hg", "Y", "Y", "Hg", "Hg", "Y"], "fractional_positions": [[0.576, 0.152, 0.250], [0.489, 0.978, 0.384], [0.489, 0.978, 0.116], [0.269, 0.537, 0.079], [0.731, 0.463, 0.921], [0.731, 0.463, 0.579], [0.927, 0.855, 0.250], [0.073, 0.145, 0.750], [0.511, 0.022, 0.884], [0.424, 0.848, 0.750], [0.930, 0.861, 0.953], [0.269, 0.537, 0.421], [0.511, 0.022, 0.616], [0.631, 0.262, 0.906], [0.070, 0.139, 0.453], [0.070, 0.139, 0.047], [0.369, 0.738, 0.094], [0.810, 0.620, 0.250], [0.190, 0.380, 0.750], [0.631, 0.262, 0.594], [0.369, 0.738, 0.406], [0.930, 0.861, 0.547]], "spacegroup": "Cmcm, No. 63", "e_form_ev_per_atom": -0.22}

{"formula": "PS4Cl", "functional": "PBE", "state": "optimized geometry", "lattice_angstrom": [[7.076, 0.000, -1.099], [0.000, 8.572, 0.000], [-3.409, -4.286, 7.303]], "species": ["Cl", "S", "S", "S", "P", "P", "Cl", "S", "S", "S", "S", "S"], "fractional_positions": [[0.636, 0.814, 0.629], [0.420, 0.266, 0.857], [0.292, 0.724, 0.448], [0.580, 0.409, 0.143], [0.252, 0.582, 0.165], [0.748, 0.418, 0.835], [0.364, 0.186, 0.371], [0.708, 0.276, 0.552], [0.000, 0.323, 0.000], [0.580, 0.734, 0.143], [0.000, 0.677, 0.000], [0.420, 0.591, 0.857]], "de_polymorph_ev_per_fu": 0.86, "e_form_raw_ev_per_atom": 0.083, "spacegroup": "C2/m, No. 12"}

{"formula": "Sm2YOsC2", "functional": "PBE", "state": "optimized geometry", "lattice_angstrom": [[3.798, 0.000, 0.000], [0.000, 5.651, 0.000], [0.000, 0.000, 11.196]], "species": ["Os", "Sm", "C", "Sm", "C", "C", "Os", "Sm", "Y", "C", "Sm", "Y"], "fractional_positions": [[0.000, 0.000, 0.000], [0.500, 0.048, 0.207], [0.500, 0.771, 0.388], [0.500, 0.952, 0.793], [0.500, 0.229, 0.612], [0.000, 0.271, 0.112], [0.500, 0.500, 0.500], [0.000, 0.452, 0.707], [0.000, 0.000, 0.500], [0.000, 0.729, 0.888], [0.000, 0.548, 0.293], [0.500, 0.500, 0.000]], "spacegroup": "Pnnm, No. 58", "e_form_ev_per_atom": -0.12}

{"formula": "Er4CdAg2Pd", "functional": "PBE", "state": "optimized geometry", "lattice_angstrom": [[-2.297, 1.164, -4.391], [-0.128, -3.402, -3.785], [-7.954, -3.749, 0.216]], "species": ["Er", "Er", "Ag", "Er", "Er", "Ag", "Pd", "Cd"], "fractional_positions": [[0.619, 0.619, 0.144], [0.381, 0.381, 0.856], [0.744, 0.744, 0.768], [0.870, 0.870, 0.389], [0.130, 0.130, 0.611], [0.256, 0.256, 0.232], [0.500, 0.500, 0.500], [0.000, 0.000, 0.000]], "spacegroup": "R-3m, No. 166", "e_form_ev_per_atom": -0.48}

{"formula": "SrLiIr2", "functional": "PBE", "state": "optimized geometry", "lattice_angstrom": [[-0.251, 2.576, -2.343], [0.647, -2.274, -2.569], [-7.350, -1.329, -0.673]], "species": ["Ir", "Li", "Sr", "Ir"], "fractional_positions": [[0.500, 0.500, 0.189], [0.000, 0.000, 0.422], [0.500, 0.500, 0.797], [0.000, 0.000, 0.091]], "de_polymorph_ev_per_fu": 0.55, "spacegroup": "P4mm, No. 99", "e_form_ev_per_atom": 0.22}

{"formula": "ReAsW2", "functional": "PBE", "state": "optimized geometry", "lattice_angstrom": [[4.469, 0.000, 0.000], [2.234, 3.870, 0.000], [2.234, 1.290, 3.649]], "species": ["Re", "As", "W", "W"], "fractional_positions": [[0.750, 0.750, 0.750], [0.500, 0.500, 0.500], [0.250, 0.250, 0.250], [0.000, 0.000, 0.000]], "spacegroup": "F-43m, No. 216", "e_form_ev_per_atom": 0.49}

{"formula": "TlZnTe2N", "functional": "PBE", "state": "optimized geometry", "lattice_angstrom": [[-3.039, -4.960, -1.356], [3.646, -0.969, -4.630], [2.561, -2.250, 2.487]], "species": ["N", "Zn", "Te", "Te", "Tl"], "fractional_positions": [[0.000, 0.000, 0.500], [0.500, 0.500, 0.500], [0.000, 0.500, 0.000], [0.500, 0.000, 0.000], [0.000, 0.000, 0.000]], "de_polymorph_ev_per_fu": 3.15, "e_form_raw_ev_per_atom": 1.212, "spacegroup": "P4/mmm, No. 123"}

{"formula": "Li3Ce2Sn4", "functional": "PBE", "state": "optimized geometry", "lattice_angstrom": [[-0.290, -4.375, -4.612], [6.965, 2.854, -3.146], [4.328, -2.944, 6.911]], "species": ["Li", "Sn", "Sn", "Sn", "Li", "Ce", "Sn", "Sn", "Sn", "Li", "Li", "Li", "Sn", "Ce", "Ce", "Sn", "Ce", "Li"], "fractional_positions": [[0.000, 0.000, 0.000], [0.324, 0.475, 0.647], [0.676, 0.525, 0.353], [0.303, 0.250, 0.106], [0.976, 0.250, 0.452], [0.891, 0.408, 0.781], [0.176, 0.975, 0.353], [0.824, 0.025, 0.647], [0.197, 0.750, 0.894], [0.500, 0.500, 0.000], [0.024, 0.750, 0.548], [0.476, 0.250, 0.452], [0.803, 0.250, 0.106], [0.609, 0.908, 0.219], [0.391, 0.092, 0.781], [0.697, 0.750, 0.894], [0.109, 0.592, 0.219], [0.524, 0.750, 0.548]], "spacegroup": "Cmce, No. 64", "e_form_ev_per_atom": -0.47}

{"formula": "Tl2VMoOs", "functional": "PBE", "state": "optimized geometry", "lattice_angstrom": [[-3.660, 2.812, -2.492], [-3.298, -2.278, 2.273], [0.155, 3.589, 3.822]], "species": ["Tl", "V", "Mo", "Tl", "Os"], "fractional_positions": [[0.000, 0.000, 0.500], [0.000, 0.500, 0.000], [0.500, 0.500, 0.500], [0.500, 0.000, 0.000], [0.000, 0.000, 0.000]], "spacegroup": "P4/mmm, No. 123", "e_form_ev_per_atom": 1.55}

{"formula": "DyAs4", "functional": "PBE", "state": "optimized geometry", "lattice_angstrom": [[-4.488, 1.928, 2.235], [-2.731, -1.169, -4.475], [-1.120, -4.876, 1.957]], "species": ["As", "Dy", "As", "As", "As"], "fractional_positions": [[0.000, 0.000, 0.000], [0.500, 0.500, 0.500], [0.000, 0.500, 0.500], [0.500, 0.500, 0.000], [0.500, 0.000, 0.500]], "spacegroup": "Pm-3m, No. 221", "e_form_ev_per_atom": 0.76}

{"formula": "SiPdSe2", "functional": "PBE", "state": "optimized geometry", "lattice_angstrom": [[5.774, 0.000, 0.000], [0.000, 5.774, 0.000], [2.887, 2.887, 5.461]], "species": ["Se", "Pd", "Se", "Pd", "Si", "Si", "Se", "Se"], "fractional_positions": [[0.606, 0.125, 0.250], [0.750, 0.250, 0.500], [0.875, 0.856, 0.750], [0.000, 0.000, 0.000], [0.250, 0.750, 0.500], [0.500, 0.500, 0.000], [0.375, 0.394, 0.750], [0.144, 0.625, 0.250]], "e_form_raw_ev_per_atom": -0.128, "spacegroup": "I-42d, No. 122"}

{"formula": "Li2MnBe", "functional": "PBE", "state": "optimized geometry", "lattice_angstrom": [[3.390, 0.000, 0.000], [0.000, 3.390, 0.000], [0.000, 0.000, 4.313]], "species": ["Li", "Be", "Li", "Mn"], "fractional_positions": [[0.000, 0.000, 0.000], [0.000, 0.500, 0.500], [0.500, 0.500, 0.000], [0.500, 0.000, 0.500]], "spacegroup": "P4/mmm, No. 123", "e_form_ev_per_atom": 0.30}

{"formula": "KInPt", "functional": "PBE", "state": "optimized geometry", "lattice_angstrom": [[6.694, -0.011, 0.012], [5.635, 3.612, 0.012], [1.058, 0.309, 3.610]], "species": ["K", "Pt", "In"], "fractional_positions": [[0.333, 0.333, 0.667], [0.599, 0.599, 0.401], [0.068, 0.068, 0.932]], "spacegroup": "I4mm, No. 107", "e_form_ev_per_atom": -0.24}

{"formula": "MoOsBr", "functional": "PBE", "state": "optimized geometry", "lattice_angstrom": [[4.325, 0.000, 0.000], [-2.163, 3.746, 0.000], [0.000, 0.000, 2.978]], "species": ["Os", "Br", "Mo"], "fractional_positions": [[0.667, 0.333, 0.721], [0.000, 0.000, 0.049], [0.333, 0.667, 0.230]], "de_polymorph_ev_per_fu": 1.28, "e_form_raw_ev_per_atom": 0.985, "spacegroup": "P3m1, No. 156"}

{"formula": "Mg2ReTc", "functional": "PBE", "state": "optimized geometry", "lattice_angstrom": [[5.315, 0.000, -0.006], [2.600, 4.636, 0.006], [-3.588, -2.948, 2.585]], "species": ["Re", "Mg", "Tc", "Mg"], "fractional_positions": [[0.750, 0.250, 0.500], [0.498, 0.498, 0.000], [0.250, 0.750, 0.500], [0.002, 0.002, 0.000]], "de_polymorph_ev_per_fu": 1.00, "spacegroup": "Immm, No. 71", "e_form_ev_per_atom": 0.27}

{"formula": "Pm2NdErTl4", "functional": "PBE", "state": "optimized geometry", "lattice_angstrom": [[-2.918, -4.599, -0.307], [2.362, -4.805, 1.048], [-2.369, -2.324, 8.880]], "species": ["Tl", "Nd", "Tl", "Tl", "Pm", "Tl", "Pm", "Er"], "fractional_positions": [[0.874, 0.874, 0.379], [0.000, 0.000, 0.000], [0.623, 0.623, 0.130], [0.377, 0.377, 0.870], [0.751, 0.751, 0.747], [0.126, 0.126, 0.621], [0.249, 0.249, 0.253], [0.500, 0.500, 0.500]], "spacegroup": "R-3m, No. 166", "e_form_ev_per_atom": -0.36}

{"formula": "Li3MgHg", "functional": "PBE", "state": "optimized geometry", "lattice_angstrom": [[5.123, 0.000, 0.000], [0.000, 4.900, -2.578], [0.000, 0.844, 7.550]], "species": ["Hg", "Li", "Li", "Hg", "Li", "Li", "Mg", "Li", "Mg", "Li"], "fractional_positions": [[0.750, 0.165, 0.330], [0.250, 0.931, 0.347], [0.250, 0.417, 0.347], [0.250, 0.835, 0.670], [0.000, 0.000, 0.000], [0.750, 0.069, 0.653], [0.250, 0.422, 0.844], [0.500, 0.000, 0.000], [0.750, 0.578, 0.156], [0.750, 0.583, 0.653]], "de_polymorph_ev_per_fu": 0.27, "spacegroup": "Cmcm, No. 63", "e_form_ev_per_atom": -0.14}

{"formula": "RbPdBr3", "functional": "PBE", "state": "optimized geometry", "lattice_angstrom": [[-2.670, 3.114, 3.348], [-2.667, -6.507, 3.925], [5.563, 0.246, 4.188]], "species": ["Br", "Pd", "Br", "Br", "Br", "Br", "Pd", "Rb", "Br", "Rb"], "fractional_positions": [[0.500, 0.750, 0.999], [0.000, 0.250, 0.000], [0.500, 0.250, 0.001], [0.001, 0.500, 0.253], [0.999, 0.500, 0.747], [0.001, 0.000, 0.253], [0.000, 0.750, 0.000], [0.500, 0.750, 0.498], [0.999, 0.000, 0.747], [0.500, 0.250, 0.502]], "e_form_raw_ev_per_atom": -0.782, "spacegroup": "P2_1/m, No. 11"}

{"formula": "Sm2Ag2Pd3", "functional": "PBE", "state": "optimized geometry", "lattice_angstrom": [[-3.860, 0.407, -1.988], [-3.257, 0.081, 6.340], [3.055, 4.438, -0.240]], "species": ["Pd", "Ag", "Ag", "Sm", "Pd", "Sm", "Pd"], "fractional_positions": [[0.339, 0.800, 0.678], [0.123, 0.433, 0.246], [0.877, 0.567, 0.754], [0.371, 0.219, 0.741], [0.000, 0.000, 0.000], [0.629, 0.781, 0.259], [0.661, 0.200, 0.322]], "spacegroup": "C2/m, No. 12", "e_form_ev_per_atom": -0.58}

{"formula": "InSbP", "functional": "PBE", "state": "optimized geometry", "lattice_angstrom": [[4.439, 0.000, 0.076], [0.000, 5.476, 0.000], [-3.283, 0.000, 12.656]], "species": ["In", "In", "In", "P", "Sb", "P", "Sb", "Sb", "P", "P", "In", "Sb"], "fractional_positions": [[0.280, 0.500, 0.291], [0.280, 0.000, 0.791], [0.847, 0.000, 0.484], [0.380, 0.000, 0.320], [0.682, 0.500, 0.672], [0.715, 0.500, 0.172], [0.682, 0.000, 0.172], [0.127, 0.500, 0.500], [0.380, 0.500, 0.820], [0.715, 0.000, 0.672], [0.847, 0.500, 0.984], [0.127, 0.000, 0.000]], "de_polymorph_ev_per_fu": 0.10, "e_form_raw_ev_per_atom": 0.031, "spacegroup": "Cm, No. 8"}